The following is a DFT calculation (PBE) of a geometry-optimized SiSnNF2 structure.

Calculated values
- E_form (uncorrected): -4.9 eV/f.u.
- E above lowest polymorph: 0.000 eV/atom
- SG: P4/mmm

Cell and atoms, written as CIF:
```
data_SiSnNF2
_chemical_formula_sum 'Si1 Sn1 N1 F2'
_symmetry_space_group_name_H-M 'P 1'
_symmetry_Int_Tables_number 1
_cell_length_a 4.521
_cell_length_b 4.521
_cell_length_c 3.320
_cell_angle_alpha 90.00
_cell_angle_beta 90.00
_cell_angle_gamma 90.00
loop_
_symmetry_equiv_pos_as_xyz
'x,y,z'
loop_
_atom_site_label
_atom_site_type_symbol
_atom_site_fract_x
_atom_site_fract_y
_atom_site_fract_z
Si1 Si 0.000 0.000 0.000
N1 N 0.000 0.000 0.500
Sn1 Sn 0.500 0.500 0.500
F1 F 0.000 0.500 0.000
F2 F 0.500 0.000 0.000
```

The following is a DFT calculation (PBE) of a geometry-optimized MnCrS2N structure.

Calculated values
- E_form (uncorrected): 2.9 eV/f.u.
- E above lowest polymorph: 0.456 eV/atom
- SG: P4/mmm

Cell and atoms, written as CIF:
```
data_MnCrS2N
_chemical_formula_sum 'Mn1 Cr1 S2 N1'
_symmetry_space_group_name_H-M 'P 1'
_symmetry_Int_Tables_number 1
_cell_length_a 4.604
_cell_length_b 4.604
_cell_length_c 3.414
_cell_angle_alpha 90.00
_cell_angle_beta 90.00
_cell_angle_gamma 90.00
loop_
_symmetry_equiv_pos_as_xyz
'x,y,z'
loop_
_atom_site_label
_atom_site_type_symbol
_atom_site_fract_x
_atom_site_fract_y
_atom_site_fract_z
Cr1 Cr 0.500 0.500 0.500
S1 S 0.000 0.500 0.000
S2 S 0.500 0.000 0.000
Mn1 Mn 0.000 0.000 0.000
N1 N 0.000 0.000 0.500
```